1.
A relaxed structure of Hf2Be16Fe, computed with GGA-PBE.

Results
symmetry: R3m, No. 160
formation energy from the elements: -234.3 meV/atom
DOS at the Fermi energy: 5.38 states/eV/f.u.

abc: 5.6726 5.6726 5.6726
angles: 83.31 83.31 83.31
With the nearest neighbours (Å) after each atom.
Fractional coordinates of all 19 atoms:
Be (0.7165, 0.2793, 0.9980)  7 Be 2.11-2.36
Be (0.3447, 0.3447, 0.8418)  9 Be 2.19-2.36
Be (0.1010, 0.1010, 0.1010)  1 Fe 2.16, 12 Be 2.33-2.40
Be (0.6579, 0.6579, 0.1540)  8 Be 2.15-2.39, 1 Fe 2.33
Be (0.5058, 0.9971, 0.9971)  9 Be 2.11-2.33, 1 Fe 2.27
Be (0.1540, 0.6579, 0.6579)  8 Be 2.15-2.39, 1 Fe 2.33
Be (0.9971, 0.9971, 0.5058)  9 Be 2.11-2.33, 1 Fe 2.27
Be (0.9980, 0.7165, 0.2793)  7 Be 2.11-2.36
Be (0.2793, 0.7165, 0.9980)  7 Be 2.11-2.36
Be (0.9971, 0.5058, 0.9971)  9 Be 2.11-2.33, 1 Fe 2.27
Be (0.6579, 0.1540, 0.6579)  8 Be 2.15-2.39, 1 Fe 2.33
Be (0.2793, 0.9980, 0.7165)  7 Be 2.11-2.36
Be (0.3447, 0.8418, 0.3447)  9 Be 2.19-2.36
Be (0.7165, 0.9980, 0.2793)  7 Be 2.11-2.36
Be (0.8418, 0.3447, 0.3447)  9 Be 2.19-2.36
Be (0.9980, 0.2793, 0.7165)  7 Be 2.11-2.36
Hf (0.6642, 0.6642, 0.6642)  1 Fe 2.61, 18 Be 2.73-2.90
Hf (0.3430, 0.3430, 0.3430)  19 Be 2.64-2.93
Fe (0.9032, 0.9032, 0.9032)  13 Be 2.16-2.36



2.
A relaxed structure of Hf2Be2Fe, computed with GGA-PBE.

Results
symmetry: P4/mbm, No. 127
formation energy from the elements: -121.7 meV/atom
DOS at the Fermi energy: 3.70 states/eV/f.u.
excess energy over the best structure of this formula in the dataset: 0 meV/atom

abc: 6.3430 6.3430 3.4863
angles: 90.00 90.00 90.00
With the nearest neighbours (Å) after each atom.
Fractional coordinates of all 10 atoms:
Be (0.8819, 0.6181, 0.0000)  1 Be 2.12
Be (0.3819, 0.8819, 0.0000)  1 Be 2.12
Be (0.1181, 0.3819, 0.0000)  1 Be 2.12
Be (0.6181, 0.1181, 0.0000)  1 Be 2.12
Hf (0.8186, 0.3186, 0.5000)  6 Be 2.50-2.61
Hf (0.1814, 0.6814, 0.5000)  6 Be 2.50-2.61
Hf (0.3186, 0.1814, 0.5000)  6 Be 2.50-2.61
Hf (0.6814, 0.8186, 0.5000)  6 Be 2.50-2.61
Fe (0.5000, 0.5000, 0.0000)  4 Be 2.54
Fe (0.0000, 0.0000, 0.0000)  4 Be 2.54



3.
A relaxed structure of LuHfBeFe, computed with GGA-PBE.

Results
symmetry: F-43m, No. 216
formation energy from the elements: -36.5 meV/atom
DOS at the Fermi energy: 1.82 states/eV/f.u.

abc: 4.5328 4.5328 4.5328
angles: 60.00 60.00 60.00
With the nearest neighbours (Å) after each atom.
Fractional coordinates of all 4 atoms:
Lu (0.2500, 0.2500, 0.2500)  4 Fe 2.78, 4 Be 2.78
Be (0.0000, 0.0000, 0.0000)  4 Hf 2.78, 4 Lu 2.78
Hf (0.7500, 0.7500, 0.7500)  4 Fe 2.78, 4 Be 2.78
Fe (0.5000, 0.5000, 0.5000)  4 Hf 2.78, 4 Lu 2.78



4.
A relaxed structure of HfBe2NbFe, computed with GGA-PBE.

Results
symmetry: P4/mmm, No. 123
formation energy from the elements: 1797.6 meV/atom
DOS at the Fermi energy: 8.33 states/eV/f.u.
excess energy over the best structure of this formula in the dataset: 1238 meV/atom

abc: 4.3699 4.3699 4.8006
angles: 90.00 90.00 90.00
With the nearest neighbours (Å) after each atom.
Fractional coordinates of all 5 atoms:
Nb (0.0000, 0.0000, 0.0000)  4 Be 2.18, 2 Hf 2.40
Fe (0.5000, 0.5000, 0.5000)  4 Hf 3.09, 8 Be 3.25
Hf (0.0000, 0.0000, 0.5000)  2 Nb 2.40
Be (0.0000, 0.5000, 0.0000)  2 Nb 2.18
Be (0.5000, 0.0000, 0.0000)  2 Nb 2.18



5.
A relaxed structure of HfBe2NbFe, computed with GGA-PBE.

Results
symmetry: P4/mmm, No. 123
formation energy from the elements: 559.5 meV/atom
DOS at the Fermi energy: 3.45 states/eV/f.u.
excess energy over the best structure of this formula in the dataset: 0 meV/atom

abc: 4.1133 4.4884 4.1133
angles: 90.00 90.00 90.00
With the nearest neighbours (Å) after each atom.
Fractional coordinates of all 5 atoms:
Be (0.0000, 0.0000, 0.5000)  2 Fe 2.06
Be (0.5000, 0.0000, 0.0000)  2 Fe 2.06
Hf (0.0000, 0.5000, 0.0000)  2 Fe 2.24
Nb (0.5000, 0.5000, 0.5000)  4 Hf 2.91, 8 Be 3.04
Fe (0.0000, 0.0000, 0.0000)  4 Be 2.06, 2 Hf 2.24



6.
A relaxed structure of HfBe2FeOs, computed with GGA-PBE.

Results
symmetry: P4/mmm, No. 123
formation energy from the elements: 551.6 meV/atom
DOS at the Fermi energy: 2.46 states/eV/f.u.

abc: 4.1267 4.5602 4.1267
angles: 90.00 90.00 90.00
With the nearest neighbours (Å) after each atom.
Fractional coordinates of all 5 atoms:
Hf (0.5000, 0.5000, 0.5000)  4 Fe 2.92, 8 Be 3.08
Fe (0.0000, 0.5000, 0.0000)  2 Os 2.28
Be (0.0000, 0.0000, 0.5000)  2 Os 2.06
Be (0.5000, 0.0000, 0.0000)  2 Os 2.06
Os (0.0000, 0.0000, 0.0000)  4 Be 2.06, 2 Fe 2.28



7.
A relaxed structure of HfBe2FeP, computed with GGA-PBE.

Results
symmetry: P4/mmm, No. 123
formation energy from the elements: 1865.9 meV/atom
DOS at the Fermi energy: 6.13 states/eV/f.u.

abc: 4.6466 4.5397 4.6466
angles: 90.00 90.00 90.00
With the nearest neighbours (Å) after each atom.
Fractional coordinates of all 5 atoms:
P (0.5000, 0.5000, 0.5000)  8 Be 3.25, 4 Fe 3.29
Be (0.0000, 0.0000, 0.5000)  2 Hf 2.32
Be (0.5000, 0.0000, 0.0000)  2 Hf 2.32
Hf (0.0000, 0.0000, 0.0000)  2 Fe 2.27, 4 Be 2.32
Fe (0.0000, 0.5000, 0.0000)  2 Hf 2.27



8.
A relaxed structure of Hf2BeFeRh, computed with GGA-PBE.

Results
symmetry: P4/mmm, No. 123
formation energy from the elements: 605.5 meV/atom
DOS at the Fermi energy: 3.69 states/eV/f.u.

abc: 4.6567 4.4364 4.6567
angles: 90.00 90.00 90.00
With the nearest neighbours (Å) after each atom.
Fractional coordinates of all 5 atoms:
Fe (0.0000, 0.0000, 0.0000)  2 Rh 2.22, 4 Hf 2.33
Be (0.5000, 0.5000, 0.5000)  8 Hf 3.22, 4 Rh 3.29
Hf (0.5000, 0.0000, 0.0000)  2 Fe 2.33
Hf (0.0000, 0.0000, 0.5000)  2 Fe 2.33
Rh (0.0000, 0.5000, 0.0000)  2 Fe 2.22



9.
A relaxed structure of HfBeTl2Fe, computed with GGA-PBE.

Results
symmetry: P4/mmm, No. 123
formation energy from the elements: 808.7 meV/atom
DOS at the Fermi energy: 4.55 states/eV/f.u.

abc: 4.9618 4.1205 4.9618
angles: 90.00 90.00 90.00
With the nearest neighbours (Å) after each atom.
Fractional coordinates of all 5 atoms:
Tl (0.0000, 0.0000, 0.5000)  2 Fe 2.48
Tl (0.5000, 0.0000, 0.0000)  2 Fe 2.48
Fe (0.0000, 0.0000, 0.0000)  2 Be 2.06
Hf (0.5000, 0.5000, 0.5000)  8 Tl 3.22, 4 Be 3.51
Be (0.0000, 0.5000, 0.0000)  2 Fe 2.06



10.
A relaxed structure of Hf2Be2VFe5, computed with GGA-PBE.

Results
symmetry: P4/mbm, No. 127
formation energy from the elements: -246.3 meV/atom
DOS at the Fermi energy: 10.61 states/eV/f.u.

abc: 3.1058 8.8306 8.8306
angles: 90.00 90.00 90.00
With the nearest neighbours (Å) after each atom.
Fractional coordinates of all 20 atoms:
Fe (0.5000, 0.5657, 0.7071)  2 Be 2.22, 2 V 2.47
Fe (0.5000, 0.5000, 0.0000)  4 Be 2.17
Fe (0.5000, 0.2071, 0.0657)  2 Be 2.22, 2 V 2.47
Fe (0.5000, 0.0657, 0.7929)  2 Be 2.22, 2 V 2.47
Fe (0.5000, 0.7071, 0.4343)  2 Be 2.22, 2 V 2.47
Fe (0.5000, 0.2929, 0.5657)  2 Be 2.22, 2 V 2.47
Fe (0.5000, 0.7929, 0.9343)  2 Be 2.22, 2 V 2.47
Fe (0.5000, 0.0000, 0.5000)  4 Be 2.17
Fe (0.5000, 0.4343, 0.2929)  2 Be 2.22, 2 V 2.47
Fe (0.5000, 0.9343, 0.2071)  2 Be 2.22, 2 V 2.47
Be (0.0000, 0.6218, 0.8782)  6 Fe 2.17-2.22
Be (0.0000, 0.8782, 0.3782)  6 Fe 2.17-2.22
Be (0.0000, 0.1218, 0.6218)  6 Fe 2.17-2.22
Be (0.0000, 0.3782, 0.1218)  6 Fe 2.17-2.22
Hf (0.0000, 0.8263, 0.6737)  3 Be 2.55-2.65, 10 Fe 2.67-2.83
Hf (0.0000, 0.1737, 0.3263)  3 Be 2.55-2.65, 10 Fe 2.67-2.83
Hf (0.0000, 0.6737, 0.1737)  3 Be 2.55-2.65, 10 Fe 2.67-2.83
Hf (0.0000, 0.3263, 0.8263)  3 Be 2.55-2.65, 10 Fe 2.67-2.83
V (0.0000, 0.5000, 0.5000)  8 Fe 2.47
V (0.0000, 0.0000, 0.0000)  8 Fe 2.47



11.
A relaxed structure of HfBeZn2Fe, computed with GGA-PBE.

Results
symmetry: P4/mmm, No. 123
formation energy from the elements: 1597.0 meV/atom
DOS at the Fermi energy: 4.53 states/eV/f.u.

abc: 5.1351 4.5336 5.1351
angles: 90.00 90.00 90.00
With the nearest neighbours (Å) after each atom.
Fractional coordinates of all 5 atoms:
Hf (0.0000, 0.0000, 0.0000)  2 Fe 2.27
Zn (0.0000, 0.0000, 0.5000)  2 Hf 2.57
Zn (0.5000, 0.0000, 0.0000)  2 Hf 2.57
Fe (0.0000, 0.5000, 0.0000)  2 Hf 2.27
Be (0.5000, 0.5000, 0.5000)  8 Zn 3.43, 4 Fe 3.63



12.
A relaxed structure of BeFe2Hg, computed with GGA-PBE.

Results
symmetry: Cm, No. 8
formation energy from the elements: 346.2 meV/atom
DOS at the Fermi energy: 2.39 states/eV/f.u.
excess energy over the best structure of this formula in the dataset: 119 meV/atom

abc: 4.2947 4.2947 4.8685
angles: 79.51 79.51 38.25
With the nearest neighbours (Å) after each atom.
Fractional coordinates of all 4 atoms:
Fe (0.9988, 0.9988, 0.0010)  3 Be 2.43-2.49, 3 Fe 2.43-2.45
Fe (0.7384, 0.7384, 0.8164)  2 Be 2.35, 3 Fe 2.43-2.45
Hg (0.5017, 0.5017, 0.4885)  3 Be 2.63-2.70, 7 Fe 2.72-2.86, 2 Hg 2.81
Be (0.2612, 0.2612, 0.1941)  5 Fe 2.35-2.49